Computed, not measured: a geometry-optimized LaInTc structure at the PBE level of DFT.

Geometry as POSCAR:
```
LaInTc
1.0
13.4519 0.0000 0.0000
0.0000 4.3372 0.0000
-1.2870 0.0000 5.2623
La In Tc
4 4 4
Direct
0.1284 0.0000 0.3221
0.3716 0.5000 0.6779
0.6284 0.5000 0.3221
0.8716 0.0000 0.6779
0.0728 0.5000 0.7930
0.4272 0.0000 0.2070
0.5728 0.0000 0.7930
0.9272 0.5000 0.2070
0.2196 0.0000 0.9015
0.2804 0.5000 0.0985
0.7196 0.5000 0.9015
0.7804 0.0000 0.0985
```

- excess energy over the best structure of this formula in the dataset (meV per atom) = 0
- energy relative to the elements (eV/f.u.) = -0.583
- magnetic moment (Bohr magnetons per cell) = 0.00

***

Computed, not measured: a geometry-optimized La6In2Tc structure at the PBE level of DFT.

Geometry as POSCAR:
```
La6In2Tc
1.0
7.5675 0.0000 0.0000
0.0000 7.4736 0.0000
-7.5161 0.0000 10.4866
La In Tc
12 4 2
Direct
0.2108 0.0001 0.2581
0.2108 0.4999 0.7581
0.2770 0.2437 0.5237
0.2770 0.2563 0.0237
0.2795 0.7462 0.0236
0.2795 0.7538 0.5236
0.7205 0.2462 0.4764
0.7205 0.2538 0.9764
0.7230 0.7437 0.9763
0.7230 0.7563 0.4763
0.7892 0.9999 0.7419
0.7892 0.5001 0.2419
0.2520 0.5009 0.2535
0.2520 0.9991 0.7535
0.7480 0.0009 0.2465
0.7480 0.4991 0.7465
0.0000 0.0000 0.0000
0.0000 0.5000 0.5000
```

- excess energy over the best structure of this formula in the dataset (meV per atom) = 19
- energy relative to the elements (eV/f.u.) = -2.112
- magnetic moment (Bohr magnetons per cell) = 0.00

***

Computed, not measured: a geometry-optimized La8In2Tc structure at the PBE level of DFT.

Geometry as POSCAR:
```
La8In2Tc
1.0
9.1816 -2.8734 0.0000
9.1816 2.8734 0.0000
-2.6481 0.0000 6.6439
La In Tc
8 2 1
Direct
0.0026 0.0026 0.2745
0.2051 0.2051 0.7383
0.3592 0.3592 0.5928
0.4030 0.4030 0.1022
0.5970 0.5970 0.8978
0.6408 0.6408 0.4072
0.7949 0.7949 0.2616
0.9974 0.9974 0.7255
0.1800 0.1800 0.1867
0.8200 0.8200 0.8133
0.5000 0.5000 0.5000
```

- energy relative to the elements (eV/f.u.) = -2.296
- magnetic moment (Bohr magnetons per cell) = 0.00

***

Computed, not measured: a geometry-optimized LaIn2Tc structure at the PBE level of DFT.

Geometry as POSCAR:
```
LaIn2Tc
1.0
5.8303 0.0000 0.0000
0.0000 10.0469 0.0000
-0.6103 0.0000 3.2021
La In Tc
2 4 2
Direct
0.0000 0.0000 0.0000
0.5000 0.5000 0.0000
0.2500 0.2500 0.5000
0.2500 0.7500 0.5000
0.7500 0.2500 0.5000
0.7500 0.7500 0.5000
0.0000 0.5000 0.0000
0.5000 0.0000 0.0000
```

- excess energy over the best structure of this formula in the dataset (meV per atom) = 288
- energy relative to the elements (eV/f.u.) = 1.036
- magnetic moment (Bohr magnetons per cell) = 1.83

***

Computed, not measured: a geometry-optimized LaIn2Tc structure at the PBE level of DFT.

Geometry as POSCAR:
```
LaIn2Tc
1.0
3.6406 0.0000 0.0000
0.0000 4.9790 0.0000
-1.6853 0.0000 5.2921
La In Tc
1 2 1
Direct
0.0000 0.0000 0.0000
0.3617 0.5000 0.7157
0.6383 0.5000 0.2843
0.5000 0.0000 0.5000
```

- excess energy over the best structure of this formula in the dataset (meV per atom) = 77
- energy relative to the elements (eV/f.u.) = 0.192
- magnetic moment (Bohr magnetons per cell) = 0.00

***

Computed, not measured: a geometry-optimized LaIn2Tc structure at the PBE level of DFT.

Geometry as POSCAR:
```
LaIn2Tc
1.0
4.7384 0.0000 0.0000
0.0000 4.7384 0.0000
0.0000 0.0000 8.2937
La In Tc
2 4 2
Direct
0.0000 0.0000 0.0000
0.5000 0.5000 0.5000
0.0000 0.0000 0.5000
0.0000 0.5000 0.2500
0.5000 0.0000 0.7500
0.5000 0.5000 0.0000
0.0000 0.5000 0.7500
0.5000 0.0000 0.2500
```

- excess energy over the best structure of this formula in the dataset (meV per atom) = 237
- energy relative to the elements (eV/f.u.) = 0.833
- magnetic moment (Bohr magnetons per cell) = 0.73

***

Computed, not measured: a geometry-optimized LaIn2Tc structure at the PBE level of DFT.

Geometry as POSCAR:
```
LaIn2Tc
1.0
3.5252 0.0000 0.0000
0.0000 5.1650 0.0000
0.0000 0.0000 10.5166
La In Tc
2 4 2
Direct
0.0000 0.0000 0.0000
0.5000 0.5000 0.5000
0.0000 0.5000 0.2134
0.0000 0.5000 0.7866
0.5000 0.0000 0.2866
0.5000 0.0000 0.7134
0.0000 0.0000 0.5000
0.5000 0.5000 0.0000
```

- excess energy over the best structure of this formula in the dataset (meV per atom) = 53
- energy relative to the elements (eV/f.u.) = 0.097
- magnetic moment (Bohr magnetons per cell) = 0.00

***

Computed, not measured: a geometry-optimized LaIn2Tc structure at the PBE level of DFT.

Geometry as POSCAR:
```
LaIn2Tc
1.0
4.6421 0.0000 0.0000
0.0000 4.6421 0.0000
0.0000 0.0000 8.5365
La In Tc
2 4 2
Direct
0.0000 0.0000 0.0000
0.5000 0.5000 0.5000
0.0000 0.5000 0.2500
0.0000 0.5000 0.7500
0.5000 0.0000 0.2500
0.5000 0.0000 0.7500
0.0000 0.0000 0.5000
0.5000 0.5000 0.0000
```

- excess energy over the best structure of this formula in the dataset (meV per atom) = 73
- energy relative to the elements (eV/f.u.) = 0.178
- magnetic moment (Bohr magnetons per cell) = 0.01